This record from Alexandria describes a geometry-optimized Tb2YTh structure. The functional is GGA-PBE.

Unit cell a=5.0431 b=5.0431 c=5.0355 alpha=90.00 beta=90.00 gamma=90.00
Last column: nearest neighbours and their distance in Å.
Space group P4/mmm (No. 123)
Symmetry-distinct sites (fractional):
Tb: 0.0000 0.5000 0.0000 (multiplicity 2)  4 Th 3.56, 4 Y 3.56, 4 Tb 3.57
Y: 0.0000 0.0000 0.5000 (multiplicity 1)  8 Tb 3.56, 4 Th 3.57
Th: 0.5000 0.5000 0.5000 (multiplicity 1)  8 Tb 3.56, 4 Y 3.57

Properties
- DFT formation energy (kJ/mol of atoms) = 4.1
- distance to the lowest polymorph of the same formula (eV/atom) = 0.0370